1.
# CoReN2 GGA-PBEsol optimized geometry
# **Total magnetic moment**: 2.04 μB per formula unit
# **Energy relative to the elements, uncorrected**: 0.241 eV per atom
# **N(E_F)**: 6.138 states/eV per cell
# **Polymorph energy (0 for the lowest one)**: 20.76 kJ/mol of atoms
data_CoReN2
_cell_length_a 2.7906
_cell_length_b 2.7906
_cell_length_c 11.1041
_cell_angle_alpha 90.00
_cell_angle_beta 90.00
_cell_angle_gamma 120.00
_symmetry_space_group_name_H-M 'P 63/m m c'
_symmetry_Int_Tables_number 194
_symmetry_space_group_name_Hall '-P 6c 2c'
loop_
_atom_site_label
_atom_site_type_symbol
_atom_site_fract_x
_atom_site_fract_y
_atom_site_fract_z
Co1 Co 0.0000 0.0000 0.0000
Re1 Re 0.3333 0.6667 0.2500
N1 N 0.3333 0.6667 0.6313

---

2.
# TiZn GGA-PBEsol optimized geometry
# **Total magnetic moment**: 0.00 μB per formula unit
# **N(E_F)**: 0.485 states/eV per cell
# **Calculated formation energy**: -0.42 eV/f.u.
data_TiZn
_cell_length_a 3.097
_cell_length_b 3.097
_cell_length_c 3.097
_cell_angle_alpha 90.00
_cell_angle_beta 90.00
_cell_angle_gamma 90.00
_symmetry_space_group_name_H-M 'P m -3 m'
_symmetry_Int_Tables_number 221
_symmetry_space_group_name_Hall '-P 4 2 3'
loop_
_atom_site_label
_atom_site_type_symbol
_atom_site_fract_x
_atom_site_fract_y
_atom_site_fract_z
Ti1 Ti 0.000 0.000 0.000
Zn1 Zn 0.500 0.500 0.500

---

3.
# InSnTe2 GGA-PBEsol optimized geometry
# **Total magnetic moment**: 0.00 μB per formula unit
# **Energy relative to the elements, uncorrected**: -0.267 eV per atom
# **N(E_F)**: 5.077 states/eV per cell
data_InSnTe2
_cell_length_a 4.4001
_cell_length_b 4.4001
_cell_length_c 21.4871
_cell_angle_alpha 90.00
_cell_angle_beta 90.00
_cell_angle_gamma 120.00
_symmetry_space_group_name_H-M 'R -3 m'
_symmetry_Int_Tables_number 166
_symmetry_space_group_name_Hall '-R 3 2"'
loop_
_atom_site_label
_atom_site_type_symbol
_atom_site_fract_x
_atom_site_fract_y
_atom_site_fract_z
In1 In 0.0000 0.0000 0.0000
Sn1 Sn 0.0000 0.0000 0.5000
Te1 Te 0.0000 0.0000 0.2509

---

4.
# AgTe2Cl GGA-PBEsol optimized geometry
# **Total magnetic moment**: 0.00 μB per formula unit
# **Energy relative to the elements, uncorrected**: 0.209 eV per atom
# **N(E_F)**: 3.128 states/eV per cell
data_AgTe2Cl
_cell_length_a 5.377
_cell_length_b 5.377
_cell_length_c 3.154
_cell_angle_alpha 90.00
_cell_angle_beta 90.00
_cell_angle_gamma 90.00
_symmetry_space_group_name_H-M 'P 4/m m m'
_symmetry_Int_Tables_number 123
_symmetry_space_group_name_Hall '-P 4 2'
loop_
_atom_site_label
_atom_site_type_symbol
_atom_site_fract_x
_atom_site_fract_y
_atom_site_fract_z
Ag1 Ag 0.000 0.000 0.000
Te1 Te 0.000 0.500 0.500
Cl1 Cl 0.500 0.500 0.000

---

5.
# MgIn2Ag GGA-PBEsol optimized geometry
# **Total magnetic moment**: 0.00 μB per formula unit
# **N(E_F)**: 2.552 states/eV per cell
# **Calculated formation energy**: -0.26 eV/f.u.
data_MgIn2Ag
_cell_length_a 6.054
_cell_length_b 8.716
_cell_length_c 3.174
_cell_angle_alpha 90.00
_cell_angle_beta 90.00
_cell_angle_gamma 90.00
_symmetry_space_group_name_H-M 'C m m m'
_symmetry_Int_Tables_number 65
_symmetry_space_group_name_Hall '-C 2 2'
loop_
_atom_site_label
_atom_site_type_symbol
_atom_site_fract_x
_atom_site_fract_y
_atom_site_fract_z
Mg1 Mg 0.000 0.000 0.000
In1 In 0.250 0.250 0.500
Ag1 Ag 0.000 0.500 0.000

---

6.
# CsErNb6Br18 GGA-PBEsol optimized geometry
# **Total magnetic moment**: 0.00 μB per formula unit
# **Energy relative to the elements, uncorrected**: -1.143 eV per atom
data_CsErNb6Br18
_cell_length_a 9.6569
_cell_length_b 9.6569
_cell_length_c 18.0035
_cell_angle_alpha 90.00
_cell_angle_beta 90.00
_cell_angle_gamma 120.00
_symmetry_space_group_name_H-M 'P -3 1 c'
_symmetry_Int_Tables_number 163
_symmetry_space_group_name_Hall '-P 3 2c'
loop_
_atom_site_label
_atom_site_type_symbol
_atom_site_fract_x
_atom_site_fract_y
_atom_site_fract_z
Cs1 Cs 0.3333 0.6667 0.2500
Er1 Er 0.3333 0.6667 0.7500
Nb1 Nb 0.0385 0.1913 0.5663
Br1 Br 0.0458 0.2352 0.3377
Br2 Br 0.0833 0.4497 0.6619
Br3 Br 0.1421 0.4226 0.0006

---

7.
# Zr2AgPb GGA-PBEsol optimized geometry
# **Total magnetic moment**: 0.00 μB per formula unit
# **N(E_F)**: 6.749 states/eV per cell
# **Calculated formation energy**: -0.65 eV/f.u.
data_Zr2AgPb
_cell_length_a 6.199
_cell_length_b 8.488
_cell_length_c 3.152
_cell_angle_alpha 90.00
_cell_angle_beta 90.00
_cell_angle_gamma 90.00
_symmetry_space_group_name_H-M 'C m m m'
_symmetry_Int_Tables_number 65
_symmetry_space_group_name_Hall '-C 2 2'
loop_
_atom_site_label
_atom_site_type_symbol
_atom_site_fract_x
_atom_site_fract_y
_atom_site_fract_z
Zr1 Zr 0.250 0.250 0.000
Ag1 Ag 0.000 0.000 0.500
Pb1 Pb 0.000 0.500 0.500

---

8.
# MnHgBr2 GGA-PBEsol optimized geometry
# **Total magnetic moment**: 5.00 μB per formula unit
# **Energy relative to the elements, uncorrected**: -0.426 eV per atom
# **Polymorph energy (0 for the lowest one)**: 0.00 kJ/mol of atoms
data_MnHgBr2
_cell_length_a 3.7324
_cell_length_b 3.7324
_cell_length_c 27.8067
_cell_angle_alpha 90.00
_cell_angle_beta 90.00
_cell_angle_gamma 120.00
_symmetry_space_group_name_H-M 'R -3 m'
_symmetry_Int_Tables_number 166
_symmetry_space_group_name_Hall '-R 3 2"'
loop_
_atom_site_label
_atom_site_type_symbol
_atom_site_fract_x
_atom_site_fract_y
_atom_site_fract_z
Mn1 Mn 0.0000 0.0000 0.0000
Hg1 Hg 0.0000 0.0000 0.5000
Br1 Br 0.0000 0.0000 0.2783

---

9.
# SrRePt2 GGA-PBEsol optimized geometry
# **Total magnetic moment**: 0.93 μB per formula unit
# **N(E_F)**: 2.784 states/eV per cell
# **Calculated formation energy**: 0.43 eV/f.u.
# **Polymorph energy (0 for the lowest one)**: 14.46 kJ/mol of atoms
data_SrRePt2
_cell_length_a 5.020
_cell_length_b 5.020
_cell_length_c 2.792
_cell_angle_alpha 90.00
_cell_angle_beta 90.00
_cell_angle_gamma 90.00
_symmetry_space_group_name_H-M 'P 4/m m m'
_symmetry_Int_Tables_number 123
_symmetry_space_group_name_Hall '-P 4 2'
loop_
_atom_site_label
_atom_site_type_symbol
_atom_site_fract_x
_atom_site_fract_y
_atom_site_fract_z
Sr1 Sr 0.000 0.000 0.000
Re1 Re 0.500 0.500 0.000
Pt1 Pt 0.000 0.500 0.500

---

10.
# CrCoHg GGA-PBEsol optimized geometry
# **Total magnetic moment**: 5.34 μB per formula unit
# **N(E_F)**: 29.281 states/eV per cell
# **Calculated formation energy**: 3.40 eV/f.u.
data_CrCoHg
_cell_length_a 6.029
_cell_length_b 6.029
_cell_length_c 6.029
_cell_angle_alpha 90.00
_cell_angle_beta 90.00
_cell_angle_gamma 90.00
_symmetry_space_group_name_H-M 'F -4 3 m'
_symmetry_Int_Tables_number 216
_symmetry_space_group_name_Hall 'F -4 2 3'
loop_
_atom_site_label
_atom_site_type_symbol
_atom_site_fract_x
_atom_site_fract_y
_atom_site_fract_z
Cr1 Cr 0.000 0.000 0.000
Co1 Co 0.000 0.000 0.500
Hg1 Hg 0.250 0.250 0.750

---

11.
# Ta3InO GGA-PBEsol optimized geometry
# **Total magnetic moment**: 0.00 μB per formula unit
# **Energy relative to the elements, uncorrected**: -0.506 eV per atom
# **N(E_F)**: 3.646 states/eV per cell
data_Ta3InO
_cell_length_a 4.260
_cell_length_b 4.260
_cell_length_c 4.260
_cell_angle_alpha 90.00
_cell_angle_beta 90.00
_cell_angle_gamma 90.00
_symmetry_space_group_name_H-M 'P m -3 m'
_symmetry_Int_Tables_number 221
_symmetry_space_group_name_Hall '-P 4 2 3'
loop_
_atom_site_label
_atom_site_type_symbol
_atom_site_fract_x
_atom_site_fract_y
_atom_site_fract_z
Ta1 Ta 0.000 0.000 0.500
In1 In 0.500 0.500 0.500
O1 O 0.000 0.000 0.000

---

12.
# CdHgTe2 GGA-PBEsol optimized geometry
# **Total magnetic moment**: 0.00 μB per formula unit
# **Energy relative to the elements, uncorrected**: 0.107 eV per atom
# **N(E_F)**: 3.977 states/eV per cell
# **Polymorph energy (0 for the lowest one)**: 35.40 kJ/mol of atoms
data_CdHgTe2
_cell_length_a 5.978
_cell_length_b 12.324
_cell_length_c 3.057
_cell_angle_alpha 90.00
_cell_angle_beta 100.58
_cell_angle_gamma 90.00
_symmetry_space_group_name_H-M 'C 1 2/m 1'
_symmetry_Int_Tables_number 12
_symmetry_space_group_name_Hall '-C 2y'
loop_
_atom_site_label
_atom_site_type_symbol
_atom_site_fract_x
_atom_site_fract_y
_atom_site_fract_z
Cd1 Cd 0.000 0.000 0.000
Hg1 Hg 0.000 0.500 0.000
Te1 Te 0.250 0.250 0.500